[1]
Here is an optimized crystal structure of NdAg4Pb from Alexandria via LeMat-Bulk. Energies are from PBE.

Output
As for the space group: F-43m (216). The uncorrected energy is -3.478 eV/atom. The calculation puts the energy of formation from the pure elements at -95 kJ/mol of formula units.

Cell: 5.7297 5.7297 5.7297 Å, 60.00 60.00 60.00°
Positions (direct):
Ag 0.6253 0.6253 0.6253
Pb 0.2500 0.2500 0.2500
Nd 0.0000 0.0000 0.0000
Ag 0.6253 0.1242 0.6253
Ag 0.6253 0.6253 0.1242
Ag 0.1242 0.6253 0.6253

=====

[2]
Here is an optimized crystal structure of LaY2AlCo from Alexandria via LeMat-Bulk. Energies are from PBE.

Output
As for the space group: P4/mmm (123). The uncorrected energy is -5.862 eV/atom. The calculation puts the energy of formation from the pure elements at -58 kJ/mol of formula units.

Cell: 5.1785 5.1785 4.8509 Å, 90.00 90.00 90.00°
Last column: magnetic moment on the atom in μB.
Positions (direct):
La 0.5000 0.5000 0.5000  0.07
Co 0.0000 0.0000 0.0000  0.03
Y 0.5000 0.0000 0.0000  0.04
Y 0.0000 0.5000 0.0000  0.04
Al 0.0000 0.0000 0.5000  0.00

=====

[3]
Here is an optimized crystal structure of PaZn2BiO6 from Alexandria via LeMat-Bulk. Energies are from PBE.

Output
As for the space group: R-3 (148). The uncorrected energy is -6.644 eV/atom.

Cell: 5.6628 5.6636 6.2265 Å, 62.95 62.95 60.00°
Positions (direct):
Pa 0.8161 0.8162 0.5516
O 0.4181 0.7394 0.7950
Zn 0.5689 0.5689 0.2932
O 0.0477 0.4181 0.7947
Zn 0.0635 0.0635 0.8097
Bi 0.3161 0.3161 0.0516
O 0.7395 0.0476 0.7948
O 0.2141 0.8928 0.3081
O 0.8927 0.5848 0.3083
O 0.5848 0.2141 0.3083

=====

[4]
Here is an optimized crystal structure of BaCr2Br from Alexandria via LeMat-Bulk. Energies are from PBE.

Output
As for the space group: P4/mmm (123). The uncorrected energy is -5.305 eV/atom.

Cell: 4.5020 4.5020 6.2426 Å, 90.00 90.00 90.00°
Last column: magnetic moment on the atom in μB.
Positions (direct):
Cr 0.0000 0.0000 0.0000  4.12
Ba 0.5000 0.0000 0.5000  0.03
Br 0.0000 0.5000 0.5000  0.05
Cr 0.5000 0.5000 0.0000  4.12

=====

[5]
Here is an optimized crystal structure of CsZnP from Alexandria via LeMat-Bulk. Energies are from PBE.

Output
As for the space group: P2_1/m (11). The uncorrected energy is -2.874 eV/atom. The calculation puts the energy of formation from the pure elements at -105 kJ/mol of formula units.

Cell: 5.9121 7.1044 7.4790 Å, 59.00 90.00 90.00°
Positions (direct):
P 0.0774 0.0764 0.9526
P 0.5773 0.3036 0.2507
Cs 0.0772 0.5019 0.3971
Zn 0.3274 0.1898 0.1018
Cs 0.5773 0.8778 0.8062
Zn 0.8274 0.1899 0.1019